{"formula": "SmGdAgPb", "functional": "PBE", "state": "relaxed", "magmom_total_mub_per_atom": 1.99, "sg": "F-43m", "energy_ev_per_atom": -6.7685, "ef_ev_per_atom": -0.429, "lattice_angstrom": [[-3.7060, 1.7927, -3.4326], [-4.5047, -2.7975, -0.7826], [-4.6727, 1.8747, 1.8390]], "species": ["Sm", "Pb", "Gd", "Ag"], "frac_coords": [[0.5000, 0.5000, 0.5000], [0.7500, 0.7500, 0.7500], [0.0000, 0.0000, 0.0000], [0.2500, 0.2500, 0.2500]]}


{"formula": "GdAgSnPb", "functional": "PBE", "state": "relaxed", "magmom_total_mub_per_atom": 1.78, "sg": "F-43m", "energy_ev_per_atom": -6.3609, "ef_ev_per_atom": -0.200, "lattice_angstrom": [[-3.6505, -0.9146, 3.7536], [-4.4508, -2.6423, -1.2090], [-0.7451, -4.9318, 1.8371]], "species": ["Pb", "Gd", "Ag", "Sn"], "frac_coords": [[0.5000, 0.5000, 0.5000], [0.0000, 0.0000, 0.0000], [0.7500, 0.7500, 0.7500], [0.2500, 0.2500, 0.2500]]}


{"formula": "GdThAgPb", "functional": "PBE", "state": "relaxed", "magmom_total_mub_per_atom": 1.83, "sg": "F-43m", "energy_ev_per_atom": -7.2500, "ef_ev_per_atom": -0.235, "lattice_angstrom": [[5.3933, 0.0000, 0.0000], [2.6966, 4.6707, 0.0000], [2.6966, 1.5569, 4.4036]], "species": ["Pb", "Gd", "Ag", "Th"], "frac_coords": [[0.7500, 0.7500, 0.7500], [0.5000, 0.5000, 0.5000], [0.2500, 0.2500, 0.2500], [0.0000, 0.0000, 0.0000]]}